No. 1
SrSmSiAg PBE relaxed; calculated total energy = -16.0 eV per cell; size of the total moment = 0.000 μB per atom
1.0
0.000 3.739 3.739
3.739 0.000 3.739
3.739 3.739 0.000
Sr Sm Si Ag
1 1 1 1
Cartesian
0.000 0.000 0.000
3.739 3.739 3.739
5.608 5.608 5.608
1.869 1.869 1.869

=====

No. 2
TbSmSiAg PBE relaxed; calculated total energy = -19.4 eV per cell; size of the total moment = 0.000 μB per atom
1.0
0.000 3.616 3.616
3.616 0.000 3.616
3.616 3.616 0.000
Tb Sm Si Ag
1 1 1 1
Cartesian
0.000 0.000 0.000
3.616 3.616 3.616
1.808 1.808 1.808
5.424 5.424 5.424

=====

No. 3
SmThSiAg PBE relaxed; calculated total energy = -21.6 eV per cell; size of the total moment = 0.000 μB per atom
1.0
0.000 3.665 3.665
3.665 0.000 3.665
3.665 3.665 0.000
Sm Th Si Ag
1 1 1 1
Cartesian
0.000 0.000 0.000
3.665 3.665 3.665
1.832 1.832 1.832
5.497 5.497 5.497

=====

No. 4
SmTmSiAg PBE relaxed; calculated total energy = -19.2 eV per cell; size of the total moment = 0.000 μB per atom
1.0
0.000 3.585 3.585
3.585 0.000 3.585
3.585 3.585 0.000
Sm Tm Si Ag
1 1 1 1
Cartesian
0.000 0.000 0.000
3.585 3.585 3.585
1.792 1.792 1.792
5.377 5.377 5.377

=====

No. 5
SmYSiAg PBE relaxed; calculated total energy = -21.2 eV per cell; size of the total moment = 0.000 μB per atom
1.0
0.000 3.612 3.612
3.612 0.000 3.612
3.612 3.612 0.000
Sm Y Si Ag
1 1 1 1
Cartesian
0.000 0.000 0.000
3.612 3.612 3.612
5.417 5.417 5.417
1.806 1.806 1.806

=====

No. 6
SiAg3Sn PBE relaxed; size of the total moment = 0.000 μB per atom; distance to the lowest polymorph of the same formula = 0.583 eV/atom
1.0
5.165 0.000 0.000
0.000 5.165 0.000
0.000 0.000 5.165
Si Ag Sn
1 3 1
Cartesian
0.000 0.000 0.000
0.000 2.582 2.582
2.582 0.000 2.582
2.582 2.582 0.000
2.582 2.582 2.582

=====

No. 7
SiAgSn3 PBE relaxed; size of the total moment = 0.000 μB per atom; distance to the lowest polymorph of the same formula = 0.179 eV/atom
1.0
5.305 0.000 0.000
0.000 5.305 0.000
0.000 0.000 5.305
Si Ag Sn
1 1 3
Cartesian
0.000 0.000 0.000
2.653 2.653 2.653
0.000 2.653 2.653
2.653 0.000 2.653
2.653 2.653 0.000

=====

No. 8
Si2Ag2Sn PBE relaxed; size of the total moment = 0.000 μB per atom; distance to the lowest polymorph of the same formula = 0.115 eV/atom
1.0
8.153 0.000 0.000
0.000 8.153 0.000
0.000 0.000 2.908
Si Ag Sn
4 4 2
Cartesian
1.384 2.692 0.000
2.692 6.769 0.000
5.460 1.384 0.000
6.769 5.460 0.000
1.032 5.108 1.454
3.045 1.032 1.454
5.108 7.121 1.454
7.121 3.045 1.454
0.000 0.000 0.000
4.076 4.076 0.000

=====

Look up the size of the total moment of the sixth one.
0.000 μB per atom

=====

What is the size of the total moment in the eighth record?
0.000 μB per atom